# 1
DFT (PBE-GGA) results for an optimized crystal structure of Pm2Tm.

Geometry as POSCAR:
```
Pm2Tm
1.0
6.622 0.000 0.000
3.311 5.735 0.000
3.311 1.912 5.407
Tm Pm
2 4
direct
0.000 0.000 0.000
0.250 0.250 0.250
0.125 0.625 0.625
0.625 0.125 0.625
0.625 0.625 0.625
0.625 0.625 0.125
```

Properties
For the total energy, the calculation gives -26.35 eV per cell. The energy above the most stable polymorph in this dataset is 241 meV/atom. The value obtained for the formation energy is 0.796 eV per formula unit.

=====

# 2
DFT (PBE-GGA) results for an optimized crystal structure of YPaCdGa.

Geometry as POSCAR:
```
YPaCdGa
1.0
-0.660 1.778 4.817
-4.520 -0.707 2.424
-0.322 -3.317 3.962
Y Pa Ga Cd
1 1 1 1
direct
0.500 0.500 0.500
0.000 0.000 0.000
0.250 0.250 0.250
0.750 0.750 0.750
```

Properties
For the total energy, the calculation gives -20.28 eV per cell. The value obtained for the formation energy is -0.383 eV per formula unit.

=====

# 3
DFT (PBE-GGA) results for an optimized crystal structure of La12AlCo7.

Geometry as POSCAR:
```
La12AlCo7
1.0
8.466 -0.415 -2.739
-3.644 7.653 -2.739
-0.277 -0.415 8.893
La Al Co
12 1 7
direct
0.892 0.331 0.754
0.669 0.246 0.108
0.404 0.122 0.325
0.878 0.675 0.596
0.246 0.108 0.669
0.675 0.596 0.878
0.325 0.404 0.122
0.754 0.892 0.331
0.122 0.325 0.404
0.596 0.878 0.675
0.331 0.754 0.892
0.108 0.669 0.246
0.000 0.000 0.000
0.053 0.736 0.961
0.264 0.039 0.947
0.039 0.947 0.264
0.500 0.500 0.500
0.961 0.053 0.736
0.736 0.961 0.053
0.947 0.264 0.039
```

Properties
For the total energy, the calculation gives -115.42 eV per cell. The value obtained for the formation energy is -2.807 eV per formula unit.

=====

# 4
DFT (PBE-GGA) results for an optimized crystal structure of AlGaCl2.

Geometry as POSCAR:
```
AlGaCl2
1.0
2.451 -4.529 -0.308
-2.671 -4.322 -0.892
0.421 -2.401 -4.546
Al Ga Cl
1 1 2
direct
0.000 0.000 0.000
0.500 0.500 0.500
0.250 0.250 0.250
0.750 0.750 0.750
```

Properties
For the total energy, the calculation gives -12.12 eV per cell. The energy above the most stable polymorph in this dataset is 1 meV/atom. Its uncorrected formation energy is -1.7 eV per formula unit.

=====

# 5
DFT (PBE-GGA) results for an optimized crystal structure of Cs2LaI6.

Geometry as POSCAR:
```
Cs2LaI6
1.0
-0.153 -4.974 0.764
2.596 1.363 9.386
-9.514 -0.093 -2.506
Cs La I
2 1 6
direct
0.000 0.333 0.666
0.000 0.667 0.334
0.500 0.000 0.000
0.500 0.654 0.000
0.500 0.346 0.346
0.500 0.000 0.654
0.000 0.230 0.000
0.000 0.770 0.770
0.000 0.000 0.230
```

Properties
For the total energy, the calculation gives -27.58 eV per cell. Its uncorrected formation energy is -11.6 eV per formula unit.

=====

# 6
DFT (PBE-GGA) results for an optimized crystal structure of CuP2Ir.

Geometry as POSCAR:
```
CuP2Ir
1.0
7.084 -0.466 -0.273
6.626 2.549 -0.273
6.626 1.007 2.357
Cu Ir P
1 1 2
direct
0.510 0.510 0.510
0.741 0.741 0.741
0.997 0.997 0.997
0.252 0.252 0.252
```

Properties
For the total energy, the calculation gives -23.34 eV per cell. The energy above the most stable polymorph in this dataset is 256 meV/atom. The value obtained for the formation energy is 0.433 eV per formula unit.

=====

# 7
DFT (PBE-GGA) results for an optimized crystal structure of Tb5NiRu4.

Geometry as POSCAR:
```
Tb5NiRu4
1.0
3.425 0.000 0.000
0.000 3.425 0.000
0.000 0.000 16.930
Tb Ni Ru
5 1 4
direct
0.500 0.500 0.100
0.500 0.500 0.299
0.500 0.500 0.500
0.500 0.500 0.701
0.500 0.500 0.900
0.000 0.000 0.000
0.000 0.000 0.195
0.000 0.000 0.399
0.000 0.000 0.601
0.000 0.000 0.805
```

Properties
For the total energy, the calculation gives -69.40 eV per cell. The value obtained for the formation energy is -3.363 eV per formula unit.

=====

# 8
DFT (PBE-GGA) results for an optimized crystal structure of Ba2UP3.

Geometry as POSCAR:
```
Ba2UP3
1.0
-3.417 -1.384 -2.291
0.894 -4.085 1.166
-4.240 3.705 8.182
Ba U P
2 1 3
direct
0.102 0.103 0.209
0.767 0.768 0.539
0.434 0.436 0.874
0.934 0.936 0.874
0.297 0.298 0.599
0.572 0.573 0.149
```

Properties
For the total energy, the calculation gives -36.24 eV per cell. The value obtained for the formation energy is -4.876 eV per formula unit.